Entry from Alexandria: a relaxed ZrTaSi2Ru2 crystal (GGA-PBEsol).

The raw formation energy comes out at -0.819 eV per atom. The total magnetization comes out at 0.0 μB/cell. The density of states at the Fermi level is 9.33 states/eV per cell. Its calculated volume is 269 Å³/cell.

Cell lengths 6.491, 3.729, 11.122 Å; angles 90.00, 90.34, 90.00 degrees
Fractional positions:
Zr1 0.000 0.000 0.000
Zr2 0.001 0.000 0.581
Zr3 0.499 0.000 0.499
Ta1 0.367 0.000 0.794
Ta2 0.501 0.000 0.083
Ta3 0.862 0.000 0.289
Si1 0.277 0.000 0.287
Si2 0.293 0.500 0.629
Si3 0.297 0.500 0.959
Si4 0.780 0.000 0.790
Si5 0.787 0.500 0.125
Si6 0.791 0.500 0.453
Ru1 0.036 0.500 0.793
Ru2 0.165 0.500 0.167
Ru3 0.165 0.500 0.412
Ru4 0.532 0.500 0.287
Ru5 0.664 0.500 0.915
Ru6 0.667 0.500 0.669